No. 1
Entry from Alexandria via LeMat-Bulk: a relaxed structure of NaInP2S (GGA-PBE).

Output
- Total moment: 1.7 μB/f.u.
- E: -16.25 eV for the cell shown
- ρ: 2.82 g/cm³
- Formation energy without anion corrections: 0.5517 eV per atom

```
NaInP2S
1.0
5.105 0.000 0.000
0.000 5.105 0.000
0.000 0.000 5.247
P S Na In
2 1 1 1
direct
0.000 0.500 0.000
0.500 0.000 0.000
0.000 0.000 0.500
0.500 0.500 0.500
0.000 0.000 0.000
```

***

No. 2
Entry from Alexandria via LeMat-Bulk: a relaxed structure of NaInP2S (GGA-PBE).

Output
- Total moment: 0.8 μB/f.u.
- E: -13.81 eV for the cell shown
- ρ: 3.17 g/cm³
- Formation energy without anion corrections: 1.0398 eV per atom

```
NaInP2S
1.0
-4.136 1.428 2.395
2.393 -0.383 4.360
1.400 4.658 -0.359
P S Na In
2 1 1 1
direct
0.000 0.500 0.000
0.500 0.000 0.000
0.000 0.000 0.500
0.000 0.000 0.000
0.500 0.500 0.500
```